one | DFT (GGA-PBEsol) results for Li2Ti3NbO8 after structural relaxation.

Summary:
D(E_F) (states/eV per cell): 20.42

Lattice parameters (Å, degrees): 8.4508 8.4508 8.4508 90.00 90.00 90.00
Last column: nearest neighbours and their distance in Å.
Positions (direct):
1 Li 0.0032 0.4968 0.5032  4 O 1.98-2.00
2 Li 0.2468 0.7468 0.7532  4 O 1.98-2.00
3 Li 0.2532 0.2532 0.2532  4 O 1.98-2.00
4 Li 0.4968 0.5032 0.0032  4 O 1.98-2.00
5 Li 0.5032 0.0032 0.4968  4 O 1.98-2.00
6 Li 0.7468 0.7532 0.2468  4 O 1.98-2.00
7 Li 0.7532 0.2468 0.7468  4 O 1.98-2.00
8 Li 0.9968 0.9968 0.9968  4 O 1.98-2.00
9 Ti 0.1240 0.1260 0.6250  6 O 2.00-2.01
10 Ti 0.1250 0.3760 0.8740  6 O 2.00-2.01
11 Ti 0.1260 0.6250 0.1240  6 O 2.00-2.01
12 Ti 0.3740 0.3750 0.6240  6 O 2.00-2.01
13 Ti 0.3750 0.6240 0.3740  6 O 2.00-2.01
14 Ti 0.3760 0.8740 0.1250  6 O 2.00-2.01
15 Ti 0.6240 0.3740 0.3750  6 O 2.00-2.01
16 Ti 0.6250 0.1240 0.1260  6 O 2.00-2.01
17 Ti 0.6260 0.8750 0.8760  6 O 2.00-2.01
18 Ti 0.8740 0.1250 0.3760  6 O 2.00-2.01
19 Ti 0.8750 0.8760 0.6260  6 O 2.00-2.01
20 Ti 0.8760 0.6260 0.8750  6 O 2.00-2.01
21 Nb 0.1250 0.8750 0.3750  6 O 2.08
22 Nb 0.3750 0.1250 0.8750  6 O 2.08
23 Nb 0.6250 0.6250 0.6250  6 O 2.08
24 Nb 0.8750 0.3750 0.1250  6 O 2.08
25 O 0.1105 0.1200 0.3877  2 Ti 2.00-2.01, 1 Li 2.00, 1 Nb 2.08
26 O 0.1117 0.6117 0.8883  1 Li 1.98, 3 Ti 2.00
27 O 0.1123 0.8895 0.6200  2 Ti 2.00-2.01, 1 Li 2.00, 1 Nb 2.08
28 O 0.1200 0.3877 0.1105  2 Ti 2.00-2.01, 1 Li 2.00, 1 Nb 2.08
29 O 0.1300 0.1395 0.8623  2 Ti 2.00-2.01, 1 Li 2.00, 1 Nb 2.08
30 O 0.1383 0.3617 0.6383  1 Li 1.98, 3 Ti 2.00
31 O 0.1377 0.6300 0.3605  2 Ti 2.00-2.01, 1 Li 2.00, 1 Nb 2.08
32 O 0.1395 0.8623 0.1300  2 Ti 2.00-2.01, 1 Li 2.00, 1 Nb 2.08
33 O 0.3605 0.1377 0.6300  2 Ti 2.00-2.01, 1 Li 2.00, 1 Nb 2.08
34 O 0.3623 0.3700 0.8605  2 Ti 2.00-2.01, 1 Li 2.00, 1 Nb 2.08
35 O 0.3617 0.6383 0.1383  1 Li 1.98, 3 Ti 2.00
36 O 0.3700 0.8605 0.3623  2 Ti 2.00-2.01, 1 Li 2.00, 1 Nb 2.08
37 O 0.3800 0.6123 0.6105  2 Ti 2.00-2.01, 1 Li 2.00, 1 Nb 2.08
38 O 0.3877 0.1105 0.1200  2 Ti 2.00-2.01, 1 Li 2.00, 1 Nb 2.08
39 O 0.3883 0.3883 0.3883  1 Li 1.98, 3 Ti 2.00
40 O 0.3895 0.8800 0.8877  2 Ti 2.00-2.01, 1 Li 2.00, 1 Nb 2.08
41 O 0.6105 0.3800 0.6123  2 Ti 2.00-2.01, 1 Li 2.00, 1 Nb 2.08
42 O 0.6123 0.6105 0.3800  2 Ti 2.00-2.01, 1 Li 2.00, 1 Nb 2.08
43 O 0.6117 0.8883 0.1117  1 Li 1.98, 3 Ti 2.00
44 O 0.6200 0.1123 0.8895  2 Ti 2.00-2.01, 1 Li 2.00, 1 Nb 2.08
45 O 0.6300 0.3605 0.1377  2 Ti 2.00-2.01, 1 Li 2.00, 1 Nb 2.08
46 O 0.6383 0.1383 0.3617  1 Li 1.98, 3 Ti 2.00
47 O 0.6377 0.8700 0.6395  2 Ti 2.00-2.01, 1 Li 2.00, 1 Nb 2.08
48 O 0.6395 0.6377 0.8700  2 Ti 2.00-2.01, 1 Li 2.00, 1 Nb 2.08
49 O 0.8605 0.3623 0.3700  2 Ti 2.00-2.01, 1 Li 2.00, 1 Nb 2.08
50 O 0.8623 0.1300 0.1395  2 Ti 2.00-2.01, 1 Li 2.00, 1 Nb 2.08
51 O 0.8617 0.8617 0.8617  1 Li 1.98, 3 Ti 2.00
52 O 0.8700 0.6395 0.6377  2 Ti 2.00-2.01, 1 Li 2.00, 1 Nb 2.08
53 O 0.8800 0.8877 0.3895  2 Ti 2.00-2.01, 1 Li 2.00, 1 Nb 2.08
54 O 0.8883 0.1117 0.6117  1 Li 1.98, 3 Ti 2.00
55 O 0.8877 0.3895 0.8800  2 Ti 2.00-2.01, 1 Li 2.00, 1 Nb 2.08
56 O 0.8895 0.6200 0.1123  2 Ti 2.00-2.01, 1 Li 2.00, 1 Nb 2.08



two | DFT (GGA-PBEsol) results for Li2Ti3NbO8 after structural relaxation.

Summary:
D(E_F) (states/eV per cell): 14.22

Lattice parameters (Å, degrees): 5.8934 5.8934 9.6967 90.00 90.00 120.00
Last column: nearest neighbours and their distance in Å.
Positions (direct):
1 Li 0.0000 0.0000 0.0000  4 O 1.77-1.94
2 Li 0.0000 0.0000 0.5000  4 O 1.77-1.94
3 Li 0.3333 0.6667 0.0909  4 O 1.96-1.97
4 Li 0.6667 0.3333 0.5909  4 O 1.96-1.97
5 Ti 0.1696 0.3393 0.7775  6 O 1.96-2.06
6 Ti 0.1696 0.8304 0.7775  6 O 1.96-2.06
7 Ti 0.3393 0.1696 0.2775  6 O 1.96-2.06
8 Ti 0.6607 0.8304 0.7775  6 O 1.96-2.06
9 Ti 0.8304 0.1696 0.2775  6 O 1.96-2.06
10 Ti 0.8304 0.6607 0.2775  6 O 1.96-2.06
11 Nb 0.3333 0.6667 0.5096  6 O 2.04-2.11
12 Nb 0.6667 0.3333 0.0096  6 O 2.04-2.11
13 O 0.0000 0.0000 0.1824  1 Li 1.77, 3 Ti 1.96
14 O 0.0000 0.0000 0.6824  1 Li 1.77, 3 Ti 1.96
15 O 0.0302 0.5151 0.6569  1 Li 1.96, 2 Ti 1.99, 1 Nb 2.11
16 O 0.1636 0.3271 0.3978  1 Li 1.94, 1 Nb 2.04, 2 Ti 2.06
17 O 0.1636 0.8364 0.3978  1 Li 1.94, 1 Nb 2.04, 2 Ti 2.06
18 O 0.3271 0.1636 0.8978  1 Li 1.94, 1 Nb 2.04, 2 Ti 2.06
19 O 0.3333 0.6667 0.8875  1 Li 1.97, 3 Ti 1.98
20 O 0.4849 0.5151 0.6569  1 Li 1.96, 2 Ti 1.99, 1 Nb 2.11
21 O 0.4849 0.9698 0.6569  1 Li 1.96, 2 Ti 1.99, 1 Nb 2.11
22 O 0.5151 0.0302 0.1569  1 Li 1.96, 2 Ti 1.99, 1 Nb 2.11
23 O 0.5151 0.4849 0.1569  1 Li 1.96, 2 Ti 1.99, 1 Nb 2.11
24 O 0.6667 0.3333 0.3875  1 Li 1.97, 3 Ti 1.98
25 O 0.6729 0.8364 0.3978  1 Li 1.94, 1 Nb 2.04, 2 Ti 2.06
26 O 0.8364 0.1636 0.8978  1 Li 1.94, 1 Nb 2.04, 2 Ti 2.06
27 O 0.8364 0.6729 0.8978  1 Li 1.94, 1 Nb 2.04, 2 Ti 2.06
28 O 0.9698 0.4849 0.1569  1 Li 1.96, 2 Ti 1.99, 1 Nb 2.11



The energy of each structure relative to the most stable one, in eV/atom, is as follows: one 0.000; two 0.022.